# 1
A plane-wave DFT calculation with GGA-PBE was carried out for a geometry-optimized Ba2TlIrC structure.

Energy relative to the elements = -0.11 eV/atom
Symmetry = No. 123
Magnetic moment = 0.00 Bohr magnetons per cell
E = -4.97 eV/atom

a = 6.022 Å, b = 6.022 Å, c = 3.913 Å
α = 90.00°, β = 90.00°, γ = 90.00°
Sites, in units of the cell vectors:
C 0.000 0.000 0.000
Tl 0.500 0.500 0.500
Ir 0.000 0.000 0.500
Ba 0.000 0.500 0.000
Ba 0.500 0.000 0.000

***

# 2
A plane-wave DFT calculation with GGA-PBE was carried out for a geometry-optimized CuAsAu4 structure.

Energy relative to the elements = 0.36 eV/atom
Symmetry = No. 216
Magnetic moment = 0.00 Bohr magnetons per cell
E = -3.28 eV/atom

a = 5.486 Å, b = 5.486 Å, c = 5.486 Å
α = 60.00°, β = 60.00°, γ = 60.00°
Sites, in units of the cell vectors:
Cu 0.750 0.750 0.750
As 0.000 0.000 0.000
Au 0.874 0.375 0.375
Au 0.375 0.375 0.874
Au 0.375 0.874 0.375
Au 0.375 0.375 0.375